# 1
{"formula": "Ce2GaSnRu", "functional": "PBE-GGA", "state": "relaxed", "formation_energy_ev_per_atom": -0.478, "m_tot_mub_per_cell": 2.0, "mass_density_g_cm3": 7.6, "volume_a3_per_atom": 24.8, "e_tot_ev_per_atom": -6.113, "lattice_angstrom": [[-2.5858, -0.8016, -3.3554], [5.6973, -1.0706, -4.1348], [-2.8202, -7.3197, 3.9221]], "species": ["Ru", "Ru", "Ce", "Ce", "Ce", "Ce", "Sn", "Sn", "Ga", "Ga"], "frac_coords": [[0.7500, 0.0837, 0.0925], [0.2500, 0.9163, 0.9075], [0.2500, 0.2762, 0.9539], [0.7500, 0.8146, 0.6449], [0.2500, 0.1854, 0.3551], [0.7500, 0.7238, 0.0461], [0.7500, 0.2875, 0.6627], [0.2500, 0.7125, 0.3373], [0.2500, 0.5440, 0.7274], [0.7500, 0.4560, 0.2726]]}



# 2
{"formula": "Tm3SbN", "functional": "PBE-GGA", "state": "relaxed", "m_tot_mub_per_cell": 0.0, "mass_density_g_cm3": 8.6, "e_form_raw_ev_per_atom": -0.93, "volume_a3_per_atom": 24.8, "e_tot_ev_per_atom": -6.106, "lattice_angstrom": [[-4.6000, 1.4251, 0.5178], [-1.5983, -2.8346, -6.3967], [-0.7719, -4.7972, 6.3448]], "species": ["Tm", "Tm", "Tm", "Tm", "Tm", "Tm", "N", "N", "Sb", "Sb"], "frac_coords": [[0.7500, 0.7062, 0.1474], [0.7500, 0.2425, 0.5980], [0.2500, 0.0527, 0.2175], [0.2500, 0.5588, 0.8526], [0.2500, 0.6445, 0.4020], [0.7500, 0.8353, 0.7825], [0.7500, 0.5578, 0.8336], [0.2500, 0.7243, 0.1664], [0.2500, 0.0834, 0.7308], [0.7500, 0.3527, 0.2692]]}